No. 1
Entry from the Open Quantum Materials Database: Nd2CuPt after structural relaxation (PBE).

Output
Energy of formation = -15.92 kcal/mol of atoms
VASP energy = -5.515 eV per atom
Total moment = 0.00 μB per cell
SG = Pmc2_1 (26)

Unit cell a=4.5303 b=5.6994 c=7.3915 alpha=90.00 beta=90.00 gamma=90.00
Last column: nearest neighbours and their distance in Å.
Fractional coordinates of all 8 atoms:
Nd1 0.5000 0.3855 0.1847  3 Pt 3.02-3.07, 4 Cu 3.06-3.08
Nd2 0.0000 0.1060 0.8150  3 Cu 3.02-3.09, 4 Pt 3.06-3.07
Nd3 0.0000 0.8940 0.3150  3 Cu 3.02-3.09, 4 Pt 3.06-3.07
Nd4 0.5000 0.6145 0.6847  3 Pt 3.02-3.07, 4 Cu 3.06-3.08
Pt1 0.5000 0.1175 0.5366  2 Cu 2.79, 7 Nd 3.02-3.07
Pt2 0.5000 0.8825 0.0366  2 Cu 2.79, 7 Nd 3.02-3.07
Cu1 0.0000 0.3874 0.4637  2 Pt 2.79, 7 Nd 3.02-3.09
Cu2 0.0000 0.6126 0.9637  2 Pt 2.79, 7 Nd 3.02-3.09



No. 2
Entry from the Open Quantum Materials Database: Nd2CuSi4Pt after structural relaxation (PBE).

Output
VASP energy = -5.921 eV per atom
Total moment = 0.00 μB per cell
SG = Amm2 (38)

Unit cell a=4.1590 b=8.7314 c=8.7314 alpha=28.12 beta=90.00 gamma=90.00
Last column: nearest neighbours and their distance in Å.
Fractional coordinates of all 8 atoms:
Nd1 0.0000 0.4004 0.4004  10 Si 3.13-3.35, 4 Pt 3.26
Nd2 0.5000 0.6078 0.6078  10 Si 3.14-3.24, 4 Cu 3.18
Si1 0.5000 0.9636 0.9636  2 Si 2.42, 1 Pt 2.42
Si2 0.5000 0.2494 0.2494  2 Cu 2.43, 2 Pt 2.44
Si3 0.0000 0.0362 0.0362  1 Cu 2.35, 2 Si 2.42
Si4 0.0000 0.7470 0.7470  2 Pt 2.42, 2 Cu 2.45
Cu1 0.0000 0.1750 0.1750  5 Si 2.35-2.45
Pt1 0.5000 0.8205 0.8205  5 Si 2.42-2.44



No. 3
Entry from the Open Quantum Materials Database: NdCuSn2Pt after structural relaxation (PBE).

Output
VASP energy = -5.160 eV per atom
Total moment = 0.01 μB per cell
SG = P2_1/m (11)

Unit cell a=4.5037 b=4.4551 c=11.0104 alpha=90.00 beta=91.33 gamma=90.00
Last column: nearest neighbours and their distance in Å.
Fractional coordinates of all 10 atoms:
Nd1 0.7671 0.2500 0.2601  3 Cu 3.24-3.46, 6 Sn 3.36-3.62, 4 Pt 3.42-3.46
Nd2 0.2329 0.7500 0.7399  3 Cu 3.24-3.46, 6 Sn 3.36-3.62, 4 Pt 3.42-3.46
Cu1 0.1954 0.2500 0.5001  4 Sn 2.61-2.65, 2 Cu 2.84
Cu2 0.8046 0.7500 0.4999  4 Sn 2.61-2.65, 2 Cu 2.84
Sn1 0.2940 0.7500 0.3772  4 Cu 2.61-2.65, 1 Pt 2.64
Sn2 0.7060 0.2500 0.6228  4 Cu 2.61-2.65, 1 Pt 2.64
Sn3 0.7479 0.7500 0.0014  4 Pt 2.70-2.71
Sn4 0.2521 0.2500 0.9986  4 Pt 2.70-2.71
Pt1 0.7460 0.2500 0.8624  5 Sn 2.64-2.71
Pt2 0.2540 0.7500 0.1376  5 Sn 2.64-2.71